No. 1
BaTi2VPb (PBE, relaxed); E_tot = -19.167 eV per cell; E_form = 2274 meV/atom; size of the total moment = 0.16 μB per atom; symmetry = P4/mmm, No. 123
1.0
4.963 0.000 0.000
0.000 6.014 0.000
0.000 0.000 4.963
Ba Ti V Pb
1 2 1 1
Direct
0.000 0.000 0.000
0.500 0.000 0.000
0.000 0.000 0.500
0.500 0.500 0.500
0.000 0.500 0.000

=====

No. 2
BaTiZn2Pb (PBE, relaxed); E_tot = -15.971 eV per cell; E_form = 21 meV/atom; size of the total moment = 0.27 μB per atom; symmetry = P4/mmm, No. 123
1.0
5.213 0.000 0.000
0.000 5.380 0.000
0.000 0.000 5.213
Ti Zn Ba Pb
1 2 1 1
Direct
0.000 0.000 0.000
0.500 0.000 0.000
0.000 0.000 0.500
0.500 0.500 0.500
0.000 0.500 0.000

=====

No. 3
BaTl4Pb (PBE, relaxed); E_tot = -16.308 eV per cell; E_form = -202 meV/atom; size of the total moment = 0.00 μB per atom; symmetry = Cmmm, No. 65; energy relative to the lowest polymorph listed for this composition = 0.0 meV per atom
1.0
5.425 -0.701 0.397
0.429 4.747 2.575
-0.607 -0.696 7.084
Tl Ba Pb
4 1 1
Direct
0.000 0.322 0.356
0.000 0.678 0.644
0.500 0.823 0.355
0.500 0.177 0.645
0.000 0.000 0.000
0.500 0.500 0.000

=====

> Which of these has the lowest E_tot?

BaTi2VPb

=====

> Among the records above, which one has the highest E_form?

BaTi2VPb

=====

What did the third record say?
BaTl4Pb (PBE, relaxed); E_tot = -16.308 eV per cell; E_form = -202 meV/atom; size of the total moment = 0.00 μB per atom; symmetry = Cmmm, No. 65; energy relative to the lowest polymorph listed for this composition = 0.0 meV per atom
1.0
5.425 -0.701 0.397
0.429 4.747 2.575
-0.607 -0.696 7.084
Tl Ba Pb
4 1 1
Direct
0.000 0.322 0.356
0.000 0.678 0.644
0.500 0.823 0.355
0.500 0.177 0.645
0.000 0.000 0.000
0.500 0.500 0.000